one.
DFT (GGA-PBE) results for an optimized crystal structure of Nd3In5.

spin magnetization: 0.00 Bohr magnetons per cell

Cell lengths 6.763, 6.763, 4.887 Å; angles 90.00, 90.00, 93.60 degrees
Sites, in units of the cell vectors:
1 Nd 0.000 0.000 0.000
2 Nd 0.274 0.726 0.500
3 Nd 0.726 0.274 0.500
4 In 0.000 0.500 0.000
5 In 0.235 0.235 0.500
6 In 0.500 0.000 0.000
7 In 0.500 0.500 0.000
8 In 0.765 0.765 0.500

=====

two.
DFT (GGA-PBE) results for an optimized crystal structure of Nd3In5.

spin magnetization: 0.00 Bohr magnetons per cell

Cell lengths 6.574, 6.574, 10.587 Å; angles 90.00, 90.00, 78.39 degrees
Sites, in units of the cell vectors:
1 Nd 0.128 0.872 0.750
2 Nd 0.297 0.297 0.000
3 Nd 0.297 0.297 0.500
4 Nd 0.703 0.703 0.000
5 Nd 0.703 0.703 0.500
6 Nd 0.872 0.128 0.250
7 In 0.004 0.422 0.750
8 In 0.191 0.809 0.048
9 In 0.191 0.809 0.452
10 In 0.422 0.004 0.250
11 In 0.489 0.511 0.250
12 In 0.511 0.489 0.750
13 In 0.578 0.996 0.750
14 In 0.809 0.191 0.548
15 In 0.809 0.191 0.952
16 In 0.996 0.578 0.250

=====

Stability, lowest: one

=====

one.
DFT (GGA-PBE) results for an optimized crystal structure of Nd2InNi.

spin magnetization: 0.00 Bohr magnetons per cell

Cell lengths 10.226, 10.226, 10.226 Å; angles 21.60, 21.60, 21.60 degrees
Sites, in units of the cell vectors:
1 Nd 0.111 0.111 0.111
2 Nd 0.889 0.889 0.889
3 In 0.000 0.000 0.000
4 Ni 0.500 0.500 0.500

=====

two.
DFT (GGA-PBE) results for an optimized crystal structure of Nd2InNi.

spin magnetization: 0.00 Bohr magnetons per cell

Cell lengths 5.271, 5.271, 5.271 Å; angles 60.00, 60.00, 60.00 degrees
Sites, in units of the cell vectors:
1 Nd 0.250 0.250 0.250
2 Nd 0.750 0.750 0.750
3 In 0.000 0.000 0.000
4 Ni 0.500 0.500 0.500

=====

three.
DFT (GGA-PBE) results for an optimized crystal structure of Nd2InNi.

spin magnetization: 0.00 Bohr magnetons per cell

Cell lengths 3.583, 3.583, 7.862 Å; angles 90.00, 90.00, 90.00 degrees
Sites, in units of the cell vectors:
1 Nd 0.000 0.000 0.215
2 Nd 0.000 0.000 0.785
3 In 0.500 0.500 0.500
4 Ni 0.500 0.500 0.000

=====

Stability, lowest: one

=====

one.
DFT (GGA-PBE) results for an optimized crystal structure of NdIn4Ni2.

spin magnetization: 0.00 Bohr magnetons per cell

Cell lengths 7.905, 7.905, 4.494 Å; angles 90.00, 90.00, 147.08 degrees
Sites, in units of the cell vectors:
1 Nd 0.000 0.000 0.000
2 In 0.167 0.833 0.500
3 In 0.331 0.669 0.000
4 In 0.669 0.331 0.000
5 In 0.833 0.167 0.500
6 Ni 0.422 0.578 0.500
7 Ni 0.578 0.422 0.500

=====

two.
DFT (GGA-PBE) results for an optimized crystal structure of NdIn4Ni2.

spin magnetization: 0.00 Bohr magnetons per cell

Cell lengths 18.336, 4.495, 7.029 Å; angles 90.00, 90.00, 90.00 degrees
Sites, in units of the cell vectors:
1 Nd 0.140 0.250 0.022
2 Nd 0.360 0.750 0.522
3 Nd 0.640 0.250 0.478
4 Nd 0.860 0.750 0.978
5 In 0.032 0.750 0.845
6 In 0.072 0.250 0.507
7 In 0.185 0.750 0.324
8 In 0.196 0.750 0.736
9 In 0.304 0.250 0.236
10 In 0.315 0.250 0.824
11 In 0.428 0.750 0.007
12 In 0.468 0.250 0.345
13 In 0.532 0.750 0.655
14 In 0.572 0.250 0.993
15 In 0.685 0.750 0.176
16 In 0.696 0.750 0.764
17 In 0.804 0.250 0.264
18 In 0.815 0.250 0.676
19 In 0.928 0.750 0.493
20 In 0.968 0.250 0.155
21 Ni 0.040 0.750 0.243
22 Ni 0.217 0.250 0.535
23 Ni 0.283 0.750 0.035
24 Ni 0.460 0.250 0.743
25 Ni 0.540 0.750 0.257
26 Ni 0.717 0.250 0.965
27 Ni 0.783 0.750 0.465
28 Ni 0.960 0.250 0.757

=====

Stability, lowest: one